No. 1
The following is a SCAN calculation of Al3Cl at its PBEsol-relaxed geometry, from Alexandria via LeMat-Bulk.

Values from the calculation:
V = 78.09 Å³/f.u.
Energy = -127.06 eV/cell
Uncorrected formation energy = -0.133 eV per atom

Structure (CIF):
```
data_Al3Cl
_cell_length_a 7.627
_cell_length_b 8.225
_cell_length_c 4.980
_cell_angle_alpha 90.00
_cell_angle_beta 90.00
_cell_angle_gamma 90.00
_symmetry_space_group_name_H-M 'C m c m'
_symmetry_Int_Tables_number 63
_symmetry_space_group_name_Hall '-C 2c 2'
loop_
_atom_site_label
_atom_site_type_symbol
_atom_site_fract_x
_atom_site_fract_y
_atom_site_fract_z
Al1 Al 0.000 0.091 0.250
Al2 Al 0.200 0.196 0.750
Cl1 Cl 0.000 0.408 0.750
```



No. 2
The following is a SCAN calculation of AlCl5 at its PBEsol-relaxed geometry, from Alexandria via LeMat-Bulk.

Values from the calculation:
V = 156.14 Å³/f.u.
Energy = -107.81 eV/cell
Uncorrected formation energy = -1.044 eV per atom

Structure (CIF):
```
data_AlCl5
_cell_length_a 13.329
_cell_length_b 3.368
_cell_length_c 7.486
_cell_angle_alpha 90.00
_cell_angle_beta 111.69
_cell_angle_gamma 90.00
_symmetry_space_group_name_H-M 'C 1 m 1'
_symmetry_Int_Tables_number 8
loop_
_symmetry_equiv_pos_as_xyz
'x,y,z'
'x,-y,z'
'x+1/2,y+1/2,z'
'x+1/2,-y+1/2,z'
loop_
_atom_site_label
_atom_site_type_symbol
_atom_site_fract_x
_atom_site_fract_y
_atom_site_fract_z
Al1 Al 0.000 0.000 0.000
Cl1 Cl 0.013 0.500 0.223
Cl2 Cl 0.045 0.500 0.825
Cl3 Cl 0.221 0.000 0.174
Cl4 Cl 0.264 0.000 0.460
Cl5 Cl 0.328 0.500 0.850
```



No. 3
The following is a SCAN calculation of Al3Cl at its PBEsol-relaxed geometry, from Alexandria via LeMat-Bulk.

Values from the calculation:
V = 73.73 Å³/f.u.
Energy = -60.52 eV/cell
Uncorrected formation energy = 0.244 eV per atom

Structure (CIF):
```
data_Al3Cl
_cell_length_a 4.427
_cell_length_b 4.427
_cell_length_c 7.523
_cell_angle_alpha 90.00
_cell_angle_beta 90.00
_cell_angle_gamma 90.00
_symmetry_space_group_name_H-M 'I 4/m m m'
_symmetry_Int_Tables_number 139
_symmetry_space_group_name_Hall '-I 4 2'
loop_
_atom_site_label
_atom_site_type_symbol
_atom_site_fract_x
_atom_site_fract_y
_atom_site_fract_z
Al1 Al 0.000 0.000 0.000
Al2 Al 0.000 0.500 0.250
Cl1 Cl 0.000 0.000 0.500
```



No. 4
The following is a SCAN calculation of Al3Cl at its PBEsol-relaxed geometry, from Alexandria via LeMat-Bulk.

Values from the calculation:
V = 77.09 Å³/f.u.
Energy = -62.94 eV/cell
Uncorrected formation energy = -0.059 eV per atom

Structure (CIF):
```
data_Al3Cl
_cell_length_a 2.890
_cell_length_b 11.345
_cell_length_c 4.702
_cell_angle_alpha 90.00
_cell_angle_beta 90.00
_cell_angle_gamma 90.00
_symmetry_space_group_name_H-M 'I m m 2'
_symmetry_Int_Tables_number 44
loop_
_symmetry_equiv_pos_as_xyz
'x,y,z'
'-x,-y,z'
'-x,y,z'
'x,-y,z'
'x+1/2,y+1/2,z+1/2'
'-x+1/2,-y+1/2,z+1/2'
'-x+1/2,y+1/2,z+1/2'
'x+1/2,-y+1/2,z+1/2'
loop_
_atom_site_label
_atom_site_type_symbol
_atom_site_fract_x
_atom_site_fract_y
_atom_site_fract_z
Al1 Al 0.000 0.000 0.000
Al2 Al 0.000 0.294 0.357
Cl1 Cl 0.000 0.500 0.904
```



No. 5
The following is a SCAN calculation of AlCl2 at its PBEsol-relaxed geometry, from Alexandria via LeMat-Bulk.

Values from the calculation:
V = 64.17 Å³/f.u.
Energy = -50.85 eV/cell
Uncorrected formation energy = -0.572 eV per atom

Structure (CIF):
```
data_AlCl2
_cell_length_a 3.230
_cell_length_b 3.230
_cell_length_c 12.301
_cell_angle_alpha 90.00
_cell_angle_beta 90.00
_cell_angle_gamma 90.00
_symmetry_space_group_name_H-M 'I 4/m m m'
_symmetry_Int_Tables_number 139
_symmetry_space_group_name_Hall '-I 4 2'
loop_
_atom_site_label
_atom_site_type_symbol
_atom_site_fract_x
_atom_site_fract_y
_atom_site_fract_z
Al1 Al 0.000 0.000 0.000
Cl1 Cl 0.000 0.000 0.378
```



No. 6
The following is a SCAN calculation of Al3Cl at its PBEsol-relaxed geometry, from Alexandria via LeMat-Bulk.

Values from the calculation:
V = 78.10 Å³/f.u.
Energy = -29.79 eV/cell
Uncorrected formation energy = 0.360 eV per atom

Structure (CIF):
```
data_Al3Cl
_cell_length_a 4.275
_cell_length_b 4.275
_cell_length_c 4.275
_cell_angle_alpha 90.00
_cell_angle_beta 90.00
_cell_angle_gamma 90.00
_symmetry_space_group_name_H-M 'P m -3 m'
_symmetry_Int_Tables_number 221
_symmetry_space_group_name_Hall '-P 4 2 3'
loop_
_atom_site_label
_atom_site_type_symbol
_atom_site_fract_x
_atom_site_fract_y
_atom_site_fract_z
Al1 Al 0.000 0.000 0.500
Cl1 Cl 0.500 0.500 0.500
```



No. 7
The following is a SCAN calculation of AlCl5 at its PBEsol-relaxed geometry, from Alexandria via LeMat-Bulk.

Values from the calculation:
V = 151.28 Å³/f.u.
Energy = -46.56 eV/cell
Uncorrected formation energy = 0.180 eV per atom

Structure (CIF):
```
data_AlCl5
_cell_length_a 4.9843
_cell_length_b 4.9843
_cell_length_c 7.0317
_cell_angle_alpha 90.00
_cell_angle_beta 90.00
_cell_angle_gamma 120.00
_symmetry_space_group_name_H-M 'P 6/m m m'
_symmetry_Int_Tables_number 191
_symmetry_space_group_name_Hall '-P 6 2'
loop_
_atom_site_label
_atom_site_type_symbol
_atom_site_fract_x
_atom_site_fract_y
_atom_site_fract_z
Al1 Al 0.0000 0.0000 0.0000
Cl1 Cl 0.0000 0.5000 0.5000
Cl2 Cl 0.3333 0.6667 0.0000
```



No. 8
The following is a SCAN calculation of Al2CoCl8 at its PBEsol-relaxed geometry, from Alexandria via LeMat-Bulk.

Values from the calculation:
V = 298.36 Å³/f.u.
Energy = -451.88 eV/cell
Uncorrected formation energy = -1.485 eV per atom

Structure (CIF):
```
data_Al2CoCl8
_cell_length_a 17.063
_cell_length_b 7.913
_cell_length_c 11.455
_cell_angle_alpha 90.00
_cell_angle_beta 129.50
_cell_angle_gamma 90.00
_symmetry_space_group_name_H-M 'C 1 2/c 1'
_symmetry_Int_Tables_number 15
loop_
_symmetry_equiv_pos_as_xyz
'x,y,z'
'-x,-y,-z'
'-x,y,-z+1/2'
'x,-y,z+1/2'
'x+1/2,y+1/2,z'
'-x+1/2,-y+1/2,-z'
'-x+1/2,y+1/2,-z+1/2'
'x+1/2,-y+1/2,z+1/2'
loop_
_atom_site_label
_atom_site_type_symbol
_atom_site_fract_x
_atom_site_fract_y
_atom_site_fract_z
Al1 Al 0.082 0.240 0.029
Co1 Co 0.000 0.004 0.750
Cl1 Cl 0.069 0.221 0.689
Cl2 Cl 0.081 0.220 0.217
Cl3 Cl 0.147 0.013 0.013
Cl4 Cl 0.156 0.466 0.055
```



No. 9
The following is a SCAN calculation of Al2CoCl at its PBEsol-relaxed geometry, from Alexandria via LeMat-Bulk.

Values from the calculation:
V = 62.48 Å³/f.u.
Energy = -80.08 eV/cell
Uncorrected formation energy = 0.187 eV per atom

Structure (CIF):
```
data_Al2CoCl
_cell_length_a 12.069
_cell_length_b 2.746
_cell_length_c 3.976
_cell_angle_alpha 90.00
_cell_angle_beta 108.50
_cell_angle_gamma 90.00
_symmetry_space_group_name_H-M 'C 1 2/m 1'
_symmetry_Int_Tables_number 12
loop_
_symmetry_equiv_pos_as_xyz
'x,y,z'
'-x,-y,-z'
'-x,y,-z'
'x,-y,z'
'x+1/2,y+1/2,z'
'-x+1/2,-y+1/2,-z'
'-x+1/2,y+1/2,-z'
'x+1/2,-y+1/2,z'
loop_
_atom_site_label
_atom_site_type_symbol
_atom_site_fract_x
_atom_site_fract_y
_atom_site_fract_z
Al1 Al 0.183 0.000 0.185
Co1 Co 0.000 0.500 0.000
Cl1 Cl 0.000 0.000 0.500
```



No. 10
The following is a SCAN calculation of Al2CoCl2 at its PBEsol-relaxed geometry, from Alexandria via LeMat-Bulk.

Values from the calculation:
V = 90.50 Å³/f.u.
Energy = -97.94 eV/cell
Uncorrected formation energy = -0.041 eV per atom

Structure (CIF):
```
data_Al2CoCl2
_cell_length_a 5.946
_cell_length_b 5.946
_cell_length_c 5.121
_cell_angle_alpha 90.00
_cell_angle_beta 90.00
_cell_angle_gamma 90.00
_symmetry_space_group_name_H-M 'P 4/m b m'
_symmetry_Int_Tables_number 127
_symmetry_space_group_name_Hall '-P 4 2ab'
loop_
_atom_site_label
_atom_site_type_symbol
_atom_site_fract_x
_atom_site_fract_y
_atom_site_fract_z
Al1 Al 0.187 0.313 0.000
Co1 Co 0.000 0.000 0.500
Cl1 Cl 0.177 0.323 0.500
```



No. 11
The following is a SCAN calculation of Al2CoCl at its PBEsol-relaxed geometry, from Alexandria via LeMat-Bulk.

Values from the calculation:
V = 60.85 Å³/f.u.
Energy = -39.74 eV/cell
Uncorrected formation energy = 0.262 eV per atom

Structure (CIF):
```
data_Al2CoCl
_cell_length_a 2.809
_cell_length_b 4.575
_cell_length_c 4.735
_cell_angle_alpha 90.00
_cell_angle_beta 90.00
_cell_angle_gamma 90.00
_symmetry_space_group_name_H-M 'P m m m'
_symmetry_Int_Tables_number 47
loop_
_symmetry_equiv_pos_as_xyz
'x,y,z'
'-x,-y,-z'
'-x,-y,z'
'x,y,-z'
'x,-y,-z'
'-x,y,z'
'-x,y,-z'
'x,-y,z'
loop_
_atom_site_label
_atom_site_type_symbol
_atom_site_fract_x
_atom_site_fract_y
_atom_site_fract_z
Al1 Al 0.000 0.000 0.000
Al2 Al 0.500 0.000 0.500
Co1 Co 0.000 0.500 0.500
Cl1 Cl 0.500 0.500 0.000
```